Entry 1
The following is a DFT calculation (PBE-GGA) of an optimized crystal structure of Tm2PdPt3.

Unit cell a=9.986 b=9.850 c=7.805 alpha=67.75 beta=65.91 gamma=46.34
Positions (direct):
Tm1 0.201 0.251 0.281
Tm2 0.233 0.719 0.749
Tm3 0.251 0.201 0.767
Tm4 0.281 0.767 0.201
Tm5 0.719 0.233 0.799
Tm6 0.749 0.799 0.233
Tm7 0.767 0.281 0.251
Tm8 0.799 0.749 0.719
Pd1 0.236 0.514 0.514
Pd2 0.486 0.764 0.764
Pd3 0.514 0.236 0.236
Pd4 0.764 0.486 0.486
Pt1 0.000 0.000 0.000
Pt2 0.000 0.000 0.500
Pt3 0.000 0.500 0.000
Pt4 0.111 0.111 0.639
Pt5 0.156 0.594 0.156
Pt6 0.361 0.361 0.889
Pt7 0.406 0.844 0.406
Pt8 0.500 0.000 0.000
Pt9 0.594 0.156 0.594
Pt10 0.639 0.639 0.111
Pt11 0.844 0.406 0.844
Pt12 0.889 0.889 0.361

As for the density of states at the Fermi level: 2.995 states/eV/f.u. As for the space-group type: Fddd. The calculation puts the mass density at 13.63 g/cm³.

***

Entry 2
The following is a DFT calculation (PBE-GGA) of an optimized crystal structure of Tm2PdPt3.

Unit cell a=7.012 b=7.012 c=7.012 alpha=115.28 beta=105.48 gamma=107.83
Positions (direct):
Tm1 0.181 0.201 0.382
Tm2 0.319 0.701 0.020
Tm3 0.681 0.299 0.980
Tm4 0.819 0.799 0.618
Pd1 0.000 0.500 0.500
Pd2 0.500 0.000 0.500
Pt1 0.063 0.750 0.313
Pt2 0.250 0.250 0.000
Pt3 0.437 0.750 0.687
Pt4 0.563 0.250 0.313
Pt5 0.750 0.750 0.000
Pt6 0.937 0.250 0.687

As for the density of states at the Fermi level: 2.842 states/eV/f.u. As for the space-group type: Ibam. The calculation puts the mass density at 12.99 g/cm³.

***

Compare the structures above. Which one is the most stable? entry 1 is.